! LuMoRu2 GGA-PBE optimized geometry; values from VASP
! formation energy from the elements	-0.153	eV per atom
! crystal system	tetragonal
! excess energy over the best structure of this formula in the dataset	0	meV per atom
&SYSTEM
  ibrav = 0, nat = 4, ntyp = 3
/
ATOMIC_SPECIES
Lu 174.97 Lu.upf
Mo 95.94 Mo.upf
Ru 101.07 Ru.upf
CELL_PARAMETERS angstrom
3.120 0.000 0.000
0.000 3.120 0.000
0.000 0.000 6.834
ATOMIC_POSITIONS angstrom
Lu 0.000 0.000 0.000
Mo 0.000 0.000 3.417
Ru 1.560 1.560 1.854
Ru 1.560 1.560 4.980

! BiIr3Pt GGA-PBE optimized geometry; values from VASP
! formation energy from the elements	2.413	eV per atom
! crystal system	cubic
! excess energy over the best structure of this formula in the dataset	780	meV per atom
&SYSTEM
  ibrav = 0, nat = 5, ntyp = 3
/
ATOMIC_SPECIES
Bi 208.98 Bi.upf
Ir 192.22 Ir.upf
Pt 195.08 Pt.upf
CELL_PARAMETERS angstrom
4.922 0.000 0.000
0.000 4.922 0.000
0.000 0.000 4.922
ATOMIC_POSITIONS angstrom
Bi 0.000 0.000 0.000
Ir 0.000 0.000 2.461
Ir 0.000 2.461 0.000
Ir 2.461 0.000 0.000
Pt 2.461 2.461 2.461

! Nd2CdPb GGA-PBE optimized geometry; values from VASP
! formation energy from the elements	-0.029	eV per atom
! crystal system	trigonal
&SYSTEM
  ibrav = 0, nat = 4, ntyp = 3
/
ATOMIC_SPECIES
Nd 144.24 Nd.upf
Cd 112.41 Cd.upf
Pb 207.20 Pb.upf
CELL_PARAMETERS angstrom
1.795 1.037 11.715
-1.795 1.037 11.715
0.000 -2.073 11.715
ATOMIC_POSITIONS angstrom
Nd 0.000 0.000 3.270
Nd 0.000 0.000 31.876
Cd 0.000 0.000 17.573
Pb 0.000 0.000 0.000

! MgTi2Os GGA-PBE optimized geometry; values from VASP
! formation energy from the elements	-0.213	eV per atom
! crystal system	tetragonal
&SYSTEM
  ibrav = 0, nat = 4, ntyp = 3
/
ATOMIC_SPECIES
Mg 24.30 Mg.upf
Ti 47.87 Ti.upf
Os 190.23 Os.upf
CELL_PARAMETERS angstrom
4.472 0.000 0.000
0.000 4.472 0.000
0.000 0.000 3.193
ATOMIC_POSITIONS angstrom
Mg 0.000 0.000 0.000
Ti 0.000 2.236 1.597
Ti 2.236 0.000 1.597
Os 2.236 2.236 0.000

! SmTmCo3 GGA-PBE optimized geometry; values from VASP
! formation energy from the elements	-0.179	eV per atom
! crystal system	orthorhombic
&SYSTEM
  ibrav = 0, nat = 10, ntyp = 3
/
ATOMIC_SPECIES
Sm 150.36 Sm.upf
Tm 168.93 Tm.upf
Co 58.93 Co.upf
CELL_PARAMETERS angstrom
2.058 -11.555 0.000
2.058 11.555 0.000
0.000 0.000 3.889
ATOMIC_POSITIONS angstrom
Sm 2.058 9.898 2.917
Sm 2.058 -9.898 0.972
Tm 2.058 6.795 0.972
Tm 2.058 -6.795 2.917
Co 2.058 3.936 0.972
Co 2.058 2.841 2.917
Co 2.058 0.566 2.917
Co 2.058 -0.566 0.972
Co 2.058 -2.841 0.972
Co 2.058 -3.936 2.917

! SrZn9Ni3 GGA-PBE optimized geometry; values from VASP
! formation energy from the elements	-0.203	eV per atom
! crystal system	monoclinic
&SYSTEM
  ibrav = 0, nat = 13, ntyp = 3
/
ATOMIC_SPECIES
Sr 87.62 Sr.upf
Zn 65.41 Zn.upf
Ni 58.69 Ni.upf
CELL_PARAMETERS angstrom
2.521 -6.431 0.000
2.521 6.431 0.000
-2.467 0.000 6.144
ATOMIC_POSITIONS angstrom
Sr 0.000 0.000 0.000
Zn -1.234 0.000 3.072
Zn 0.011 4.160 4.063
Zn 0.073 1.528 4.749
Zn 2.564 4.160 2.081
Zn 2.502 1.528 1.395
Zn 0.073 -1.528 4.749
Zn 0.011 -4.160 4.063
Zn 2.502 -1.528 1.395
Zn 2.564 -4.160 2.081
Ni 1.261 3.216 0.000
Ni 1.261 -3.216 0.000
Ni 1.288 0.000 3.072

! Rb2HfNiS4 GGA-PBE optimized geometry; values from VASP
! formation energy without anion corrections	-1.01	eV per atom
! crystal system	orthorhombic
&SYSTEM
  ibrav = 0, nat = 16, ntyp = 4
/
ATOMIC_SPECIES
Rb 85.47 Rb.upf
Hf 178.49 Hf.upf
Ni 58.69 Ni.upf
S 32.06 S.upf
CELL_PARAMETERS angstrom
7.295 0.000 0.000
0.000 8.058 0.000
0.000 0.000 8.109
ATOMIC_POSITIONS angstrom
Rb 1.824 0.005 1.927
Rb 1.824 4.025 1.927
Rb 5.471 4.034 6.182
Rb 5.471 8.054 6.182
Hf 1.824 6.044 5.376
Hf 5.471 2.015 2.733
Ni 1.824 2.015 5.526
Ni 5.471 6.044 2.583
S 0.056 2.015 4.144
S 1.824 0.030 6.677
S 1.824 3.999 6.677
S 3.591 2.015 4.144
S 3.704 6.044 3.965
S 5.471 4.060 1.432
S 5.471 8.028 1.432
S 7.238 6.044 3.965

! Pm2CuHg2 GGA-PBE optimized geometry; values from VASP
! formation energy from the elements	-0.339	eV per atom
! crystal system	monoclinic
&SYSTEM
  ibrav = 0, nat = 10, ntyp = 3
/
ATOMIC_SPECIES
Pm 145.00 Pm.upf
Cu 63.55 Cu.upf
Hg 200.59 Hg.upf
CELL_PARAMETERS angstrom
5.450 -2.235 0.000
5.450 2.235 0.000
-4.557 0.000 10.353
ATOMIC_POSITIONS angstrom
Pm -1.328 0.000 3.543
Pm 1.507 0.000 1.187
Pm 4.836 0.000 9.166
Pm 7.670 0.000 6.810
Cu 0.041 0.000 6.966
Cu 6.302 0.000 3.387
Hg 1.816 0.000 4.452
Hg 4.574 0.000 1.229
Hg 1.769 0.000 9.124
Hg 4.526 0.000 5.901

! Ti2AsRhCl GGA-PBE optimized geometry; values from VASP
! formation energy without anion corrections	0.33	eV per atom
! crystal system	tetragonal
&SYSTEM
  ibrav = 0, nat = 5, ntyp = 4
/
ATOMIC_SPECIES
Ti 47.87 Ti.upf
As 74.92 As.upf
Rh 102.91 Rh.upf
Cl 35.45 Cl.upf
CELL_PARAMETERS angstrom
4.857 0.000 0.000
0.000 4.857 0.000
0.000 0.000 4.404
ATOMIC_POSITIONS angstrom
Ti 0.000 2.428 0.000
Ti 2.428 0.000 0.000
As 0.000 0.000 2.202
Rh 2.428 2.428 0.000
Cl 2.428 2.428 2.202

! Ca2Be2InPd5 GGA-PBE optimized geometry; values from VASP
! formation energy from the elements	-0.681	eV per atom
! crystal system	tetragonal
&SYSTEM
  ibrav = 0, nat = 20, ntyp = 4
/
ATOMIC_SPECIES
Ca 40.08 Ca.upf
Be 9.01 Be.upf
In 114.82 In.upf
Pd 106.42 Pd.upf
CELL_PARAMETERS angstrom
9.875 0.000 0.000
0.000 9.875 0.000
0.000 0.000 3.409
ATOMIC_POSITIONS angstrom
Ca 1.751 3.186 0.000
Ca 3.186 8.124 0.000
Ca 6.689 1.751 0.000
Ca 8.124 6.689 0.000
Be 1.178 6.116 0.000
Be 3.759 1.178 0.000
Be 6.116 8.697 0.000
Be 8.697 3.759 0.000
In 0.000 0.000 0.000
In 4.938 4.938 0.000
Pd 0.000 4.938 1.704
Pd 0.678 7.694 1.704
Pd 2.181 0.678 1.704
Pd 2.756 5.616 1.704
Pd 4.259 2.756 1.704
Pd 4.938 0.000 1.704
Pd 5.616 7.119 1.704
Pd 7.119 4.259 1.704
Pd 7.694 9.197 1.704
Pd 9.197 2.181 1.704

! BaNa2Pb GGA-PBE optimized geometry; values from VASP
! formation energy from the elements	0.121	eV per atom
! crystal system	trigonal
&SYSTEM
  ibrav = 0, nat = 4, ntyp = 3
/
ATOMIC_SPECIES
Ba 137.33 Ba.upf
Na 22.99 Na.upf
Pb 207.20 Pb.upf
CELL_PARAMETERS angstrom
1.894 1.094 12.877
-1.894 1.094 12.877
0.000 -2.187 12.877
ATOMIC_POSITIONS angstrom
Ba 0.000 0.000 0.000
Na 0.000 0.000 3.810
Na 0.000 0.000 34.823
Pb 0.000 0.000 19.316

! Er3Se GGA-PBE optimized geometry; values from VASP
! formation energy without anion corrections	-0.68	eV per atom
! crystal system	orthorhombic
! excess energy over the best structure of this formula in the dataset	102	meV per atom
&SYSTEM
  ibrav = 0, nat = 4, ntyp = 2
/
ATOMIC_SPECIES
Er 167.26 Er.upf
Se 78.96 Se.upf
CELL_PARAMETERS angstrom
-1.824 4.776 3.156
1.824 -4.776 3.156
1.824 4.776 -3.156
ATOMIC_POSITIONS angstrom
Er 0.000 0.000 0.000
Er 1.824 2.909 -0.436
Er 0.000 1.867 2.720
Se 0.000 4.776 1.001

! AcTbAl GGA-PBE optimized geometry; values from VASP
! formation energy from the elements	-0.071	eV per atom
! crystal system	trigonal
! excess energy over the best structure of this formula in the dataset	82	meV per atom
&SYSTEM
  ibrav = 0, nat = 3, ntyp = 3
/
ATOMIC_SPECIES
Ac 227.00 Ac.upf
Tb 158.93 Tb.upf
Al 26.98 Al.upf
CELL_PARAMETERS angstrom
5.275 0.000 0.000
-2.637 4.568 0.000
0.000 0.000 3.936
ATOMIC_POSITIONS angstrom
Ac 0.000 0.000 0.000
Tb 0.000 3.046 1.817
Al 2.637 1.523 2.298

! Dy2ZnRh GGA-PBE optimized geometry; values from VASP
! formation energy from the elements	-0.606	eV per atom
! crystal system	cubic
&SYSTEM
  ibrav = 0, nat = 4, ntyp = 3
/
ATOMIC_SPECIES
Dy 162.50 Dy.upf
Zn 65.41 Zn.upf
Rh 102.91 Rh.upf
CELL_PARAMETERS angstrom
0.000 3.489 3.489
3.489 0.000 3.489
3.489 3.489 0.000
ATOMIC_POSITIONS angstrom
Dy 1.744 1.744 1.744
Dy 5.233 5.233 5.233
Zn 0.000 0.000 0.000
Rh 3.489 3.489 3.489

! ZrRuI3 GGA-PBE optimized geometry; values from VASP
! formation energy without anion corrections	0.66	eV per atom
! crystal system	cubic
! excess energy over the best structure of this formula in the dataset	0	meV per atom
&SYSTEM
  ibrav = 0, nat = 5, ntyp = 3
/
ATOMIC_SPECIES
Zr 91.22 Zr.upf
Ru 101.07 Ru.upf
I 126.90 I.upf
CELL_PARAMETERS angstrom
5.312 0.000 0.000
0.000 5.312 0.000
0.000 0.000 5.312
ATOMIC_POSITIONS angstrom
Zr 0.000 0.000 0.000
Ru 2.656 2.656 2.656
I 0.000 2.656 2.656
I 2.656 0.000 2.656
I 2.656 2.656 0.000

! Er4IrAu GGA-PBE optimized geometry; values from VASP
! formation energy from the elements	-0.616	eV per atom
! crystal system	monoclinic
! excess energy over the best structure of this formula in the dataset	41	meV per atom
&SYSTEM
  ibrav = 0, nat = 6, ntyp = 3
/
ATOMIC_SPECIES
Er 167.26 Er.upf
Ir 192.22 Ir.upf
Au 196.97 Au.upf
CELL_PARAMETERS angstrom
3.427 -3.427 0.000
3.427 3.427 0.000
-0.007 0.000 6.861
ATOMIC_POSITIONS angstrom
Er 5.137 -1.713 1.642
Er 1.710 1.713 5.219
Er 5.137 1.713 1.642
Er 1.710 -1.713 5.219
Ir 0.000 0.000 0.000
Au 3.424 0.000 3.430

Calculated DOS at the Fermi energy in order - 4.477 7.351 4.361 0.845 8.099 5.054 6.608 8.561 5.060 5.468 3.932 3.814 2.116 2.752 6.548 6.027 states/eV per cell
Calculated electronic total energy in order - -8.6286 -4.8876 -3.5683 -7.3668 -6.2811 -2.5487 -5.2807 -3.1796 -5.6002 -4.6968 -1.9465 -4.9737 -4.2310 -5.0635 -3.8357 -5.6813 eV per atom